No. 1
# CaLaPt | Alexandria | GGA-PBE | optimized geometry
data_CaLaPt
_symmetry_space_group_name_H-M 'R 3 m'
_symmetry_Int_Tables_number 160
_symmetry_space_group_name_Hall 'R 3 -2"'
_cell_length_a 4.3023
_cell_length_b 4.3023
_cell_length_c 18.9138
_cell_angle_alpha 90.00
_cell_angle_beta 90.00
_cell_angle_gamma 120.00
loop_
_atom_site_label
_atom_site_type_symbol
_atom_site_fract_x
_atom_site_fract_y
_atom_site_fract_z
_atom_site_occupancy
Ca1 Ca 0.0000 0.0000 0.0000 1
La1 La 0.0000 0.0000 0.4933 1
Pt1 Pt 0.0000 0.0000 0.7498 1
# - ρ (Mg/m³) = 6.15
# - final energy (eV/f.u.) = -15.19
# - DOS(E_F) (states/eV per atom) = 1.139

---

No. 2
# CaLaPt | Alexandria | GGA-PBE | optimized geometry
data_CaLaPt
_symmetry_space_group_name_H-M 'P m m m'
_symmetry_Int_Tables_number 47
_symmetry_space_group_name_Hall '-P 2 2'
_cell_length_a 3.5707
_cell_length_b 4.7258
_cell_length_c 5.3909
_cell_angle_alpha 90.00
_cell_angle_beta 90.00
_cell_angle_gamma 90.00
loop_
_atom_site_label
_atom_site_type_symbol
_atom_site_fract_x
_atom_site_fract_y
_atom_site_fract_z
_atom_site_occupancy
Ca1 Ca 0.0000 0.0000 0.0000 1
La1 La 0.0000 0.5000 0.5000 1
Pt1 Pt 0.5000 0.0000 0.5000 1
# - ρ (Mg/m³) = 6.83
# - final energy (eV/f.u.) = -15.07
# - DOS(E_F) (states/eV per atom) = 0.832

---

No. 3
# Ca2La2Pt3 | Alexandria | GGA-PBE | optimized geometry
data_Ca2La2Pt3
_symmetry_space_group_name_H-M 'C 1 2/m 1'
_symmetry_Int_Tables_number 12
_symmetry_space_group_name_Hall '-C 2y'
_cell_length_a 8.7901
_cell_length_b 5.0867
_cell_length_c 8.7272
_cell_angle_alpha 90.00
_cell_angle_beta 109.76
_cell_angle_gamma 90.00
loop_
_atom_site_label
_atom_site_type_symbol
_atom_site_fract_x
_atom_site_fract_y
_atom_site_fract_z
_atom_site_occupancy
Ca1 Ca 0.1307 0.0000 0.3927 1
La1 La 0.1208 0.5000 0.8612 1
Pt1 Pt 0.0000 0.5000 0.5000 1
Pt2 Pt 0.2424 0.5000 0.2293 1
# - ρ (Mg/m³) = 8.53
# - final energy (eV/f.u.) = -38.53
# - DOS(E_F) (states/eV per atom) = 0.719

---

No. 4
# Ca3LaPt | Alexandria | GGA-PBE | optimized geometry
data_Ca3LaPt
_symmetry_space_group_name_H-M 'P m -3 m'
_symmetry_Int_Tables_number 221
_symmetry_space_group_name_Hall '-P 4 2 3'
_cell_length_a 5.4862
_cell_length_b 5.4862
_cell_length_c 5.4862
_cell_angle_alpha 90.00
_cell_angle_beta 90.00
_cell_angle_gamma 90.00
loop_
_atom_site_label
_atom_site_type_symbol
_atom_site_fract_x
_atom_site_fract_y
_atom_site_fract_z
_atom_site_occupancy
Ca1 Ca 0.0000 0.0000 0.5000 1
La1 La 0.0000 0.0000 0.0000 1
Pt1 Pt 0.5000 0.5000 0.5000 1
# - ρ (Mg/m³) = 4.57
# - final energy (eV/f.u.) = -10.94
# - DOS(E_F) (states/eV per atom) = 1.130

---

No. 5
# CaLaPt | Alexandria | GGA-PBE | optimized geometry
data_CaLaPt
_symmetry_space_group_name_H-M 'P 4/m m m'
_symmetry_Int_Tables_number 123
_symmetry_space_group_name_Hall '-P 4 2'
_cell_length_a 4.1434
_cell_length_b 4.1434
_cell_length_c 5.8403
_cell_angle_alpha 90.00
_cell_angle_beta 90.00
_cell_angle_gamma 90.00
loop_
_atom_site_label
_atom_site_type_symbol
_atom_site_fract_x
_atom_site_fract_y
_atom_site_fract_z
_atom_site_occupancy
Ca1 Ca 0.0000 0.0000 0.0000 1
La1 La 0.5000 0.5000 0.5000 1
Pt1 Pt 0.0000 0.0000 0.5000 1
# - ρ (Mg/m³) = 6.20
# - final energy (eV/f.u.) = -15.46
# - DOS(E_F) (states/eV per atom) = 0.723

---

No. 6
# Ca3LaPt | Alexandria | GGA-PBE | optimized geometry
data_Ca3LaPt
_symmetry_space_group_name_H-M 'P m -3 m'
_symmetry_Int_Tables_number 221
_symmetry_space_group_name_Hall '-P 4 2 3'
_cell_length_a 5.6332
_cell_length_b 5.6332
_cell_length_c 5.6332
_cell_angle_alpha 90.00
_cell_angle_beta 90.00
_cell_angle_gamma 90.00
loop_
_atom_site_label
_atom_site_type_symbol
_atom_site_fract_x
_atom_site_fract_y
_atom_site_fract_z
_atom_site_occupancy
Ca1 Ca 0.0000 0.0000 0.5000 1
La1 La 0.5000 0.5000 0.5000 1
Pt1 Pt 0.0000 0.0000 0.0000 1
# - ρ (Mg/m³) = 4.22
# - final energy (eV/f.u.) = -18.51
# - DOS(E_F) (states/eV per atom) = 1.388

---

No. 7
# CaLaPt3 | Alexandria | GGA-PBE | optimized geometry
data_CaLaPt3
_symmetry_space_group_name_H-M 'P m -3 m'
_symmetry_Int_Tables_number 221
_symmetry_space_group_name_Hall '-P 4 2 3'
_cell_length_a 5.3157
_cell_length_b 5.3157
_cell_length_c 5.3157
_cell_angle_alpha 90.00
_cell_angle_beta 90.00
_cell_angle_gamma 90.00
loop_
_atom_site_label
_atom_site_type_symbol
_atom_site_fract_x
_atom_site_fract_y
_atom_site_fract_z
_atom_site_occupancy
Ca1 Ca 0.0000 0.0000 0.0000 1
La1 La 0.5000 0.5000 0.5000 1
Pt1 Pt 0.0000 0.5000 0.5000 1
# - ρ (Mg/m³) = 8.45
# - final energy (eV/f.u.) = -24.52
# - DOS(E_F) (states/eV per atom) = 1.073

---

No. 8
# Ca8LaPt6 | Alexandria | GGA-PBE | optimized geometry
data_Ca8LaPt6
_symmetry_space_group_name_H-M 'R -3'
_symmetry_Int_Tables_number 148
_symmetry_space_group_name_Hall '-R 3'
_cell_length_a 8.5715
_cell_length_b 8.5715
_cell_length_c 18.3743
_cell_angle_alpha 90.00
_cell_angle_beta 90.00
_cell_angle_gamma 120.00
loop_
_atom_site_label
_atom_site_type_symbol
_atom_site_fract_x
_atom_site_fract_y
_atom_site_fract_z
_atom_site_occupancy
Ca1 Ca 0.0000 0.0000 0.1615 1
Ca2 Ca 0.0100 0.3223 0.7210 1
La1 La 0.0000 0.0000 0.5000 1
Pt1 Pt 0.0020 0.3263 0.5553 1
# - ρ (Mg/m³) = 6.95
# - final energy (eV/f.u.) = -70.10
# - DOS(E_F) (states/eV per atom) = 0.370

---

No. 9
# CaLa2Pt2 | Alexandria | GGA-PBE | optimized geometry
data_CaLa2Pt2
_symmetry_space_group_name_H-M 'I 4/m m m'
_symmetry_Int_Tables_number 139
_symmetry_space_group_name_Hall '-I 4 2'
_cell_length_a 5.0117
_cell_length_b 5.0117
_cell_length_c 11.7402
_cell_angle_alpha 90.00
_cell_angle_beta 90.00
_cell_angle_gamma 90.00
loop_
_atom_site_label
_atom_site_type_symbol
_atom_site_fract_x
_atom_site_fract_y
_atom_site_fract_z
_atom_site_occupancy
Ca1 Ca 0.0000 0.0000 0.0000 1
La1 La 0.0000 0.5000 0.2500 1
Pt1 Pt 0.0000 0.0000 0.3866 1
# - ρ (Mg/m³) = 7.97
# - final energy (eV/f.u.) = -27.76
# - DOS(E_F) (states/eV per atom) = 0.788

---

No. 10
# CaLaPt | Alexandria | GGA-PBE | optimized geometry
data_CaLaPt
_symmetry_space_group_name_H-M 'F -4 3 m'
_symmetry_Int_Tables_number 216
_symmetry_space_group_name_Hall 'F -4 2 3'
_cell_length_a 7.1099
_cell_length_b 7.1099
_cell_length_c 7.1099
_cell_angle_alpha 90.00
_cell_angle_beta 90.00
_cell_angle_gamma 90.00
loop_
_atom_site_label
_atom_site_type_symbol
_atom_site_fract_x
_atom_site_fract_y
_atom_site_fract_z
_atom_site_occupancy
Ca1 Ca 0.0000 0.0000 0.0000 1
La1 La 0.0000 0.0000 0.5000 1
Pt1 Pt 0.2500 0.2500 0.7500 1
# - ρ (Mg/m³) = 6.91
# - final energy (eV/f.u.) = -15.24
# - DOS(E_F) (states/eV per atom) = 1.310

---

No. 11
# CaLaPt | Alexandria | GGA-PBE | optimized geometry
data_CaLaPt
_symmetry_space_group_name_H-M 'F -4 3 m'
_symmetry_Int_Tables_number 216
_symmetry_space_group_name_Hall 'F -4 2 3'
_cell_length_a 6.9496
_cell_length_b 6.9496
_cell_length_c 6.9496
_cell_angle_alpha 90.00
_cell_angle_beta 90.00
_cell_angle_gamma 90.00
loop_
_atom_site_label
_atom_site_type_symbol
_atom_site_fract_x
_atom_site_fract_y
_atom_site_fract_z
_atom_site_occupancy
Ca1 Ca 0.0000 0.0000 0.0000 1
La1 La 0.2500 0.2500 0.7500 1
Pt1 Pt 0.0000 0.0000 0.5000 1
# - ρ (Mg/m³) = 7.40
# - final energy (eV/f.u.) = -13.28
# - DOS(E_F) (states/eV per atom) = 1.187

---

No. 12
# CaLaPt | Alexandria | GGA-PBE | optimized geometry
data_CaLaPt
_symmetry_space_group_name_H-M 'I 4 m m'
_symmetry_Int_Tables_number 107
_symmetry_space_group_name_Hall 'I 4 -2'
_cell_length_a 3.6698
_cell_length_b 3.6698
_cell_length_c 13.2732
_cell_angle_alpha 90.00
_cell_angle_beta 90.00
_cell_angle_gamma 90.00
loop_
_atom_site_label
_atom_site_type_symbol
_atom_site_fract_x
_atom_site_fract_y
_atom_site_fract_z
_atom_site_occupancy
Ca1 Ca 0.0000 0.0000 0.0000 1
La1 La 0.0000 0.0000 0.7482 1
Pt1 Pt 0.0000 0.0000 0.3643 1
# - ρ (Mg/m³) = 6.95
# - final energy (eV/f.u.) = -15.15
# - DOS(E_F) (states/eV per atom) = 0.775

---

No. 13
# CaLaPt | Alexandria | GGA-PBE | optimized geometry
data_CaLaPt
_symmetry_space_group_name_H-M 'P 3 m 1'
_symmetry_Int_Tables_number 156
_symmetry_space_group_name_Hall 'P 3 -2"'
_cell_length_a 4.2393
_cell_length_b 4.2393
_cell_length_c 6.6492
_cell_angle_alpha 90.00
_cell_angle_beta 90.00
_cell_angle_gamma 120.00
loop_
_atom_site_label
_atom_site_type_symbol
_atom_site_fract_x
_atom_site_fract_y
_atom_site_fract_z
_atom_site_occupancy
Ca1 Ca 0.0000 0.0000 0.0000 1
La1 La 0.6667 0.3333 0.5308 1
Pt1 Pt 0.3333 0.6667 0.7549 1
# - ρ (Mg/m³) = 6.00
# - final energy (eV/f.u.) = -15.17
# - DOS(E_F) (states/eV per atom) = 0.918